[1]
Y10Mn13C18 (PBEsol, optimized geometry); energy of formation from the pure elements = -366 meV/atom
1.0
-7.673 1.554 -3.629
3.097 -7.505 -2.923
-0.901 -0.403 8.572
Y Mn C
10 13 18
Cartesian
-1.739 -4.953 -1.863 Y
-1.046 -3.666 4.061 Y
-5.431 -0.912 0.834 Y
-4.431 -2.688 -2.040 Y
-3.738 -1.402 3.884 Y
-0.046 -5.442 1.187 Y
-3.228 -3.745 1.191 Y
-0.370 -0.165 3.520 Y
1.272 -3.082 -1.200 Y
-3.151 0.638 -1.490 Y
0.000 0.000 0.000 Mn
-1.656 -2.037 -0.868 Mn
-0.440 -2.388 1.322 Mn
-2.374 -0.762 1.196 Mn
-1.585 -1.410 6.089 Mn
1.939 -6.427 3.329 Mn
-6.897 1.006 2.749 Mn
-4.226 -3.739 -4.930 Mn
1.330 -5.344 5.081 Mn
1.085 -6.154 -1.589 Mn
-2.585 -5.119 -4.822 Mn
-6.109 -0.103 -2.061 Mn
-5.865 0.707 4.609 Mn
-1.812 -1.961 2.476 C
-3.298 -1.532 -0.201 C
-0.935 -3.519 -0.046 C
-4.010 -4.841 -0.949 C
0.044 -1.931 5.404 C
-2.319 0.057 5.249 C
0.501 -4.952 -2.857 C
1.987 -5.381 -0.180 C
-5.188 -2.748 2.439 C
-4.732 -0.551 -3.200 C
-2.014 -5.418 2.647 C
-5.609 1.007 -0.678 C
-1.969 -2.561 -2.819 C
0.945 -3.403 2.431 C
-3.690 0.495 2.127 C
1.251 -4.505 3.218 C
-4.884 0.656 2.816 C
-2.607 -3.390 -3.732 C

[2]
Cd2GaRh2 (PBEsol, optimized geometry); energy of formation from the pure elements = -324 meV/atom
1.0
-2.215 3.471 -0.960
-3.740 -3.422 -3.744
-3.850 -1.112 4.863
Rh Ga Cd
4 2 4
Cartesian
-4.625 -2.169 2.830 Rh
-5.681 -3.645 -0.070 Rh
-2.965 -2.365 -1.710 Rh
-1.909 -0.889 1.190 Rh
0.000 0.000 0.000 Ga
-3.795 -2.267 0.560 Ga
-4.259 0.447 2.132 Cd
-6.810 -1.461 1.121 Cd
-5.546 -1.510 -1.973 Cd
-2.995 0.398 -0.961 Cd

[3]
K3SnTe (PBEsol, optimized geometry); energy relative to the elements, uncorrected = 0.07 eV per atom
1.0
6.436 0.000 0.000
0.000 6.436 0.000
0.000 0.000 6.436
K Te Sn
3 1 1
Cartesian
0.000 3.218 0.000 K
0.000 0.000 3.218 K
3.218 0.000 0.000 K
3.218 3.218 3.218 Te
0.000 0.000 0.000 Sn

[4]
Fe3Pt (PBEsol, optimized geometry); energy of formation from the pure elements = 17 meV/atom
1.0
-0.807 1.535 -1.902
-4.031 -0.291 2.636
3.594 2.674 1.794
Fe Pt
3 1
Cartesian
-0.622 1.959 1.264 Fe
1.797 1.337 0.897 Fe
-2.016 -0.146 1.318 Fe
-0.403 0.767 -0.951 Pt

[5]
CuSb2P (PBEsol, optimized geometry); energy relative to the elements, uncorrected = 0.53 eV per atom
1.0
-0.141 2.202 -4.290
3.307 -1.041 -3.355
-1.261 -2.478 -3.943
Cu P Sb
1 1 2
Cartesian
0.952 -0.658 -5.794 Cu
1.428 -0.987 -8.691 P
0.000 0.000 0.000 Sb
0.476 -0.329 -2.897 Sb

[6]
ZrW2Cl (PBEsol, optimized geometry); E above lowest polymorph = 533.5 meV per atom; energy relative to the elements, uncorrected = 0.61 eV per atom
1.0
-0.561 -1.626 2.243
-0.617 -3.724 -2.853
5.046 -1.159 0.421
Zr W Cl
1 2 1
Cartesian
-0.589 -2.675 -0.305 Zr
3.844 -0.883 0.321 W
1.202 -0.276 0.100 W
1.934 -3.254 -0.094 Cl

[7]
KTlReC2 (PBEsol, optimized geometry); energy of formation from the pure elements = 1184 meV/atom
1.0
4.131 0.000 0.000
0.000 4.131 0.000
0.000 0.000 5.286
C Re Tl K
2 1 1 1
Cartesian
0.000 2.066 0.000 C
2.066 0.000 0.000 C
0.000 0.000 0.000 Re
0.000 0.000 2.643 Tl
2.066 2.066 2.643 K

[8]
MgCd2Cu (PBEsol, optimized geometry); energy of formation from the pure elements = -16 meV/atom
1.0
-2.381 -0.298 2.352
-1.153 -4.132 -1.690
4.803 0.215 2.489
Mg Cu Cd
1 1 2
Cartesian
-1.191 -0.149 1.176 Mg
-0.576 -2.066 -0.845 Cu
-0.404 -3.113 1.597 Cd
1.673 -1.102 1.554 Cd

[9]
TiGaPS2 (PBEsol, optimized geometry); energy relative to the elements, uncorrected = 0.40 eV per atom
1.0
4.600 0.000 0.000
0.000 4.600 0.000
0.000 0.000 4.534
P S Ga Ti
1 2 1 1
Cartesian
0.000 0.000 2.267 P
0.000 2.300 0.000 S
2.300 0.000 0.000 S
0.000 0.000 0.000 Ga
2.300 2.300 2.267 Ti

[10]
ZrScP2S (PBEsol, optimized geometry); energy relative to the elements, uncorrected = -0.04 eV per atom
1.0
4.635 0.000 0.000
0.000 4.753 0.000
0.000 0.000 4.753
Sc P S Zr
1 2 1 1
Cartesian
0.000 0.000 0.000 Sc
0.000 0.000 2.377 P
0.000 2.377 0.000 P
2.318 0.000 0.000 S
2.318 2.377 2.377 Zr

[11]
TaOs5 (PBEsol, optimized geometry); energy of formation from the pure elements = -64 meV/atom; E above lowest polymorph = 8.8 meV per atom
1.0
4.394 0.000 0.000
0.000 4.789 0.000
0.000 -2.394 4.147
Os Ta
5 1
Cartesian
0.000 0.828 1.433 Os
0.000 3.133 0.000 Os
0.000 -1.567 2.714 Os
2.197 0.000 2.765 Os
2.197 2.394 1.382 Os
2.197 0.000 0.000 Ta

[12]
KTcRu2 (PBEsol, optimized geometry); energy of formation from the pure elements = 1568 meV/atom; E above lowest polymorph = 617.8 meV per atom
1.0
-2.036 -1.769 -0.395
1.212 -0.377 -4.564
2.974 -3.669 1.093
K Ru Tc
1 2 1
Cartesian
2.093 -2.023 -1.736 K
0.000 0.000 0.000 Ru
0.469 -2.719 0.349 Ru
-0.412 -1.073 -2.480 Tc

[13]
Ta4Ni2N (PBEsol, optimized geometry); energy relative to the elements, uncorrected = -0.70 eV per atom
1.0
-2.168 -5.003 -6.017
2.714 -7.652 -0.093
-5.110 -6.138 1.466
Ta Ni N
16 8 4
Cartesian
-0.570 -2.349 -0.581 Ta
-3.125 -5.418 0.152 Ta
0.786 -6.175 -0.627 Ta
-1.654 -4.851 -3.589 Ta
-1.241 -10.596 -3.717 Ta
-3.323 -8.197 -0.928 Ta
-4.121 -10.039 -3.143 Ta
-0.443 -8.754 -1.502 Ta
-2.240 -7.779 -3.682 Ta
-2.324 -11.014 -0.962 Ta
-4.464 -12.895 -2.089 Ta
-2.382 -15.294 -4.878 Ta
-1.584 -13.453 -2.663 Ta
-5.262 -14.737 -4.304 Ta
-3.465 -15.712 -2.123 Ta
-3.381 -12.478 -4.843 Ta
-4.197 -17.282 -4.271 Ni
-0.730 -13.118 -5.265 Ni
-6.038 -12.091 -4.208 Ni
-2.726 -13.888 -0.189 Ni
-1.508 -6.209 -1.535 Ni
0.135 -4.235 -2.006 Ni
-2.381 -3.748 -1.504 Ni
-0.811 -4.600 0.400 Ni
-2.852 -11.746 -2.903 N
-0.298 -8.677 -3.636 N
-4.209 -7.919 -2.856 N
-1.769 -9.244 0.106 N

[14]
YTlSb3 (PBEsol, optimized geometry); energy relative to the elements, uncorrected = 0.21 eV per atom
1.0
-2.875 -2.406 4.299
-1.875 -4.068 -3.531
4.555 -3.193 1.259
Y Sb Tl
1 3 1
Cartesian
0.000 0.000 0.000 Y
-0.938 -2.034 -1.765 Sb
2.278 -1.597 0.630 Sb
-1.437 -1.203 2.149 Sb
-0.098 -4.833 1.014 Tl

[15]
Tl2OsBr (PBEsol, optimized geometry); energy relative to the elements, uncorrected = 1.08 eV per atom
1.0
-0.073 -4.234 -2.526
4.232 -2.230 -1.198
1.278 -4.215 2.216
Tl Os Br
2 1 1
Cartesian
0.000 0.000 0.000 Tl
4.078 -8.009 -1.131 Tl
1.359 -2.670 -0.377 Os
2.719 -5.340 -0.754 Br

[16]
SrInPt3 (PBEsol, optimized geometry); energy of formation from the pure elements = 1451 meV/atom; E above lowest polymorph = 1236.2 meV per atom
1.0
5.088 0.000 0.000
0.000 5.088 0.000
0.000 0.000 5.088
Sr Pt In
1 3 1
Cartesian
0.000 0.000 0.000 Sr
0.000 2.544 0.000 Pt
0.000 0.000 2.544 Pt
2.544 0.000 0.000 Pt
2.544 2.544 2.544 In

[17]
ZnAgMo2 (PBEsol, optimized geometry); energy of formation from the pure elements = 245 meV/atom
1.0
2.651 0.000 0.005
0.000 4.348 0.000
-0.614 0.000 5.282
Ag Mo Zn
1 2 1
Cartesian
0.582 2.174 3.927 Ag
2.585 0.000 0.071 Mo
1.887 2.174 1.326 Mo
0.654 0.000 2.612 Zn

[18]
FeMoW (PBEsol, optimized geometry); energy of formation from the pure elements = 159 meV/atom; E above lowest polymorph = 0.0 meV per atom
1.0
-1.165 -0.933 -2.201
0.964 -2.424 0.517
-4.675 0.430 3.899
Fe Mo W
1 1 1
Cartesian
-0.006 -0.002 0.004 Fe
-1.548 -2.057 0.084 Mo
-3.322 -0.868 2.126 W

[19]
Ca2AlCo (PBEsol, optimized geometry); energy of formation from the pure elements = 414 meV/atom
1.0
-0.018 -0.418 3.354
2.917 -0.296 1.682
1.235 8.842 2.811
Ca Co Al
2 1 1
Cartesian
1.043 2.360 2.003 Ca
3.091 5.769 5.844 Ca
2.067 4.064 3.923 Co
0.000 0.000 0.000 Al

[20]
TlAsSe2Br (PBEsol, optimized geometry); energy relative to the elements, uncorrected = 0.88 eV per atom
1.0
5.179 0.000 0.000
0.000 5.179 0.000
0.000 0.000 5.527
As Tl Se Br
1 1 2 1
Cartesian
0.000 0.000 2.763 As
0.000 0.000 0.000 Tl
0.000 2.590 0.000 Se
2.590 0.000 0.000 Se
2.590 2.590 2.763 Br